No. 1
Entry from Alexandria: a geometry-optimized InHSe3 structure (PBE).

Lattice parameters (Å, degrees): 5.3984 5.3984 5.3984 90.00 90.00 90.00
Site moments in Bohr magnetons follow the coordinates.
Positions (direct):
H 0.5000 0.5000 0.5000  0.37
Se 0.0000 0.5000 0.0000  0.64
Se 0.0000 0.0000 0.5000  0.58
Se 0.5000 0.0000 0.0000  0.54
In 0.0000 0.0000 0.0000  -0.03

Results
Energy relative to the lowest polymorph listed for this composition: 324 meV per atom
Symmetry: Pm-3m (221)
Uncorrected energy: -2.44 eV/atom


No. 2
Entry from Alexandria: a geometry-optimized InHSe2 structure (PBE).

Lattice parameters (Å, degrees): 4.1243 4.1243 6.7838 90.00 90.00 120.00
Positions (direct):
H 0.3333 0.6667 0.5315
Se 0.3333 0.6667 0.7516
Se 0.6667 0.3333 0.1858
In 0.0000 0.0000 0.9861

Results
Energy relative to the lowest polymorph listed for this composition: 73 meV per atom
Symmetry: P3m1 (156)
Uncorrected energy: -3.53 eV/atom


No. 3
Entry from Alexandria: a geometry-optimized InHSe3 structure (PBE).

Lattice parameters (Å, degrees): 4.5261 4.5261 4.5261 90.00 90.00 90.00
Positions (direct):
H 0.0000 0.0000 0.0000
Se 0.0000 0.5000 0.0000
Se 0.0000 0.0000 0.5000
Se 0.5000 0.0000 0.0000
In 0.5000 0.5000 0.5000

Results
Energy relative to the lowest polymorph listed for this composition: 0 meV per atom
Symmetry: Pm-3m (221)
Uncorrected energy: -2.76 eV/atom


No. 4
Entry from Alexandria: a geometry-optimized InHSe2 structure (PBE).

Lattice parameters (Å, degrees): 9.0478 9.0478 9.0478 19.42 19.42 19.42
Positions (direct):
H 0.5000 0.5000 0.5000
Se 0.8900 0.8900 0.8900
Se 0.1100 0.1100 0.1100
In 0.0000 0.0000 0.0000

Results
Energy relative to the lowest polymorph listed for this composition: 861 meV per atom
Symmetry: R-3m (166)
Uncorrected energy: -2.74 eV/atom